Compound: PrCoPtO6
Source: Alexandria via LeMat-Bulk
Functional: GGA+U
Structure: relaxed

Computed properties:
Its crystal system is tetragonal. For the total magnetic moment, the calculation gives 5.6 μB per formula unit. The calculation puts the uncorrected energy at -6.219 eV/atom.

a b c (Å): 4.909 4.909 9.793
angles (deg): 90.00 90.00 90.00
Each line ends with the local moment (μB).
Fractional positions:
Pr  0.500  0.500  0.507  0.03
Pr  0.000  0.000  0.007  0.03
Co  0.500  0.500  0.162  2.98
Co  0.000  0.000  0.662  2.98
Pt  0.500  0.500  0.833  0.53
Pt  0.000  0.000  0.333  0.53
O  0.172  0.828  0.493  0.20
O  0.828  0.172  0.493  0.20
O  0.328  0.328  0.993  0.20
O  0.672  0.672  0.993  0.20
O  0.222  0.778  0.189  0.28
O  0.778  0.222  0.189  0.28
O  0.278  0.278  0.689  0.28
O  0.722  0.722  0.689  0.28
O  0.778  0.222  0.818  0.38
O  0.222  0.778  0.818  0.38
O  0.722  0.722  0.318  0.38
O  0.278  0.278  0.318  0.38